## Sb2PbF (PBE-GGA)

Data for a geometry-optimized Sb2PbF structure.

Values from the calculation:
- calculated volume (Å³ per cell) = 96.3
- formation energy without anion corrections (eV/atom) = -0.33
- total magnetization (μB/f.u.) = 0.0
- offset from the most stable computed form (eV/f.u.) = 0.864

Cell lengths 5.145, 5.145, 5.145 Å; angles 60.00, 60.00, 60.00 degrees
Sites, in units of the cell vectors:
Sb 0.250 0.250 0.250
Sb 0.750 0.750 0.750
Pb 0.000 0.000 0.000
F 0.500 0.500 0.500

---

## NdHo6Er2Th (PBE-GGA)

Data for a geometry-optimized NdHo6Er2Th structure.

Values from the calculation:
- calculated volume (Å³ per cell) = 642.1
- energy relative to the elements (kJ/mol of formula units) = 139
- total magnetization (μB/f.u.) = 0.0

Cell lengths 8.728, 8.728, 9.522 Å; angles 93.66, 93.66, 116.89 degrees
Sites, in units of the cell vectors:
Nd 0.027 0.973 0.750
Nd 0.973 0.027 0.250
Ho 0.022 0.569 0.683
Ho 0.121 0.749 0.060
Ho 0.251 0.879 0.440
Ho 0.297 0.510 0.883
Ho 0.431 0.978 0.817
Ho 0.490 0.703 0.617
Ho 0.510 0.297 0.383
Ho 0.569 0.022 0.183
Ho 0.703 0.490 0.117
Ho 0.749 0.121 0.560
Ho 0.879 0.251 0.940
Ho 0.978 0.431 0.317
Er 0.195 0.298 0.548
Er 0.298 0.195 0.048
Er 0.702 0.805 0.952
Er 0.805 0.702 0.452
Th 0.407 0.593 0.250
Th 0.593 0.407 0.750

---

## Na2PtBr8 (PBE-GGA)

Data for a geometry-optimized Na2PtBr8 structure.

Values from the calculation:
- calculated volume (Å³ per cell) = 404.7
- formation energy without anion corrections (eV/atom) = -0.58
- total magnetization (μB/f.u.) = 1.0

Cell lengths 8.569, 8.569, 5.873 Å; angles 104.32, 104.32, 87.75 degrees
Sites, in units of the cell vectors:
Na 0.226 0.226 0.131
Na 0.774 0.774 0.869
Pt 0.500 0.500 0.000
Br 0.005 0.005 0.255
Br 0.278 0.581 0.206
Br 0.300 0.300 0.685
Br 0.419 0.722 0.794
Br 0.581 0.278 0.206
Br 0.700 0.700 0.315
Br 0.722 0.419 0.794
Br 0.995 0.995 0.745

---

## AcCdGeSb (PBE-GGA)

Data for a geometry-optimized AcCdGeSb structure.

Values from the calculation:
- calculated volume (Å³ per cell) = 112.0
- formation energy without anion corrections (eV/atom) = -0.19
- total magnetization (μB/f.u.) = 0.0

Cell lengths 5.410, 5.410, 5.410 Å; angles 60.00, 60.00, 60.00 degrees
Sites, in units of the cell vectors:
Ac 0.000 0.000 0.000
Cd 0.250 0.250 0.250
Ge 0.750 0.750 0.750
Sb 0.500 0.500 0.500

---

## Ho2P2Rh (PBE-GGA)

Data for a geometry-optimized Ho2P2Rh structure.

Values from the calculation:
- calculated volume (Å³ per cell) = 194.9
- energy relative to the elements (kJ/mol of formula units) = -604
- total magnetization (μB/f.u.) = 0.0

Cell lengths 5.621, 5.621, 10.123 Å; angles 112.35, 112.35, 41.85 degrees
Sites, in units of the cell vectors:
Ho 0.088 0.088 0.396
Ho 0.302 0.302 0.854
Ho 0.698 0.698 0.146
Ho 0.912 0.912 0.604
P 0.052 0.052 0.921
P 0.339 0.339 0.367
P 0.661 0.661 0.633
P 0.948 0.948 0.079
Rh 0.432 0.432 0.183
Rh 0.568 0.568 0.817

---

## CsGdBi2 (PBE-GGA)

Data for a geometry-optimized CsGdBi2 structure.

Values from the calculation:
- calculated volume (Å³ per cell) = 155.5
- energy relative to the elements (kJ/mol of formula units) = -209
- total magnetization (μB/f.u.) = 6.9
- offset from the most stable computed form (eV/f.u.) = 0.000

Cell lengths 4.291, 4.291, 8.445 Å; angles 90.00, 90.00, 90.00 degrees
Sites, in units of the cell vectors:
Cs 0.000 0.000 0.000
Gd 0.000 0.000 0.500
Bi 0.500 0.500 0.318
Bi 0.500 0.500 0.682

---

## Sb3HPt (PBE-GGA)

Data for a geometry-optimized Sb3HPt structure.

Values from the calculation:
- calculated volume (Å³ per cell) = 150.3
- total magnetization (μB/f.u.) = 0.7
- offset from the most stable computed form (eV/f.u.) = 2.036

Cell lengths 5.317, 5.317, 5.317 Å; angles 90.00, 90.00, 90.00 degrees
Sites, in units of the cell vectors:
Sb 0.000 0.000 0.500
Sb 0.000 0.500 0.000
Sb 0.500 0.000 0.000
H 0.500 0.500 0.500
Pt 0.000 0.000 0.000

---

## Pu4CdSn3 (PBE-GGA)

Data for a geometry-optimized Pu4CdSn3 structure.

Values from the calculation:
- calculated volume (Å³ per cell) = 210.8
- energy relative to the elements (kJ/mol of formula units) = -192
- total magnetization (μB/f.u.) = 11.7

Cell lengths 3.101, 5.835, 11.649 Å; angles 90.00, 90.00, 90.00 degrees
Sites, in units of the cell vectors:
Pu 0.000 0.000 0.000
Pu 0.000 0.000 0.500
Pu 0.000 0.500 0.245
Pu 0.000 0.500 0.755
Cd 0.500 0.500 0.500
Sn 0.500 0.000 0.255
Sn 0.500 0.000 0.745
Sn 0.500 0.500 0.000

---

## Ni2OsW (PBE-GGA)

Data for a geometry-optimized Ni2OsW structure.

Values from the calculation:
- calculated volume (Å³ per cell) = 52.7
- energy relative to the elements (kJ/mol of formula units) = 48
- total magnetization (μB/f.u.) = 0.0
- offset from the most stable computed form (eV/f.u.) = 0.630

Cell lengths 2.726, 2.726, 7.091 Å; angles 90.00, 90.00, 90.00 degrees
Sites, in units of the cell vectors:
Ni 0.000 0.000 0.000
Ni 0.500 0.500 0.230
Os 0.000 0.000 0.471
W 0.500 0.500 0.752

---

## InPdAu3 (PBE-GGA)

Data for a geometry-optimized InPdAu3 structure.

Values from the calculation:
- calculated volume (Å³ per cell) = 133.7
- energy relative to the elements (kJ/mol of formula units) = 385
- total magnetization (μB/f.u.) = 0.0
- offset from the most stable computed form (eV/f.u.) = 5.073

Cell lengths 5.113, 5.113, 5.113 Å; angles 90.00, 90.00, 90.00 degrees
Sites, in units of the cell vectors:
In 0.000 0.000 0.000
Pd 0.500 0.500 0.500
Au 0.000 0.000 0.500
Au 0.000 0.500 0.000
Au 0.500 0.000 0.000

---

## ZrRhS2 (PBE-GGA)

Data for a geometry-optimized ZrRhS2 structure.

Values from the calculation:
- calculated volume (Å³ per cell) = 62.4
- formation energy without anion corrections (eV/atom) = -0.74
- total magnetization (μB/f.u.) = 0.0
- offset from the most stable computed form (eV/f.u.) = 0.238

Cell lengths 4.452, 4.452, 4.452 Å; angles 60.00, 60.00, 60.00 degrees
Sites, in units of the cell vectors:
Zr 0.000 0.000 0.000
Rh 0.500 0.500 0.500
S 0.250 0.250 0.250
S 0.750 0.750 0.750

---

## HoThFe4 (PBE-GGA)

Data for a geometry-optimized HoThFe4 structure.

Values from the calculation:
- calculated volume (Å³ per cell) = 98.4
- energy relative to the elements (kJ/mol of formula units) = -51
- total magnetization (μB/f.u.) = 7.0

Cell lengths 5.181, 5.181, 5.181 Å; angles 60.00, 60.00, 60.00 degrees
Sites, in units of the cell vectors:
Ho 0.000 0.000 0.000
Th 0.250 0.250 0.250
Fe 0.125 0.625 0.625
Fe 0.625 0.125 0.625
Fe 0.625 0.625 0.125
Fe 0.625 0.625 0.625

---

Question: The highest total magnetization belongs to which entry?
Answer: Pu4CdSn3